Entry from Alexandria via LeMat-Bulk: a relaxed structure of RbW2F (PBE+U).

abc: 5.432 5.432 5.432
angles: 60.00 60.00 60.00
Sites, in units of the cell vectors:
Rb: 0.000 0.000 0.000
W: 0.250 0.250 0.250
W: 0.750 0.750 0.750
F: 0.500 0.500 0.500

Results
The calculation puts the energy relative to the lowest polymorph listed for this composition at 0.810 eV/atom.